w | DFT (PBE+U) results for a relaxed structure of CrI2BrO.

The value obtained for the density of states at the Fermi level is 0.47 states/eV/atom. Its magnetization is 4.94 μB/f.u. The crystal system is tetragonal.

Lattice parameters (Å, degrees): 5.931 5.931 4.015 90.00 90.00 90.00
Space group P4/mmm (No. 123)
One atom of each set of equivalent atoms:
Cr (0.000, 0.000, 0.000) x1
I (0.000, 0.500, 0.500) x2
Br (0.500, 0.500, 0.500) x1
O (0.500, 0.500, 0.000) x1


x | DFT (PBE+U) results for a relaxed structure of CrI2BrO.

The value obtained for the density of states at the Fermi level is 1.02 states/eV/atom. Its magnetization is 2.37 μB/f.u. The crystal system is tetragonal.

Lattice parameters (Å, degrees): 6.027 6.027 3.620 90.00 90.00 90.00
Space group P4/mmm (No. 123)
One atom of each set of equivalent atoms:
Cr (0.000, 0.000, 0.000) x1
I (0.000, 0.500, 0.000) x2
Br (0.500, 0.500, 0.500) x1
O (0.000, 0.000, 0.500) x1


Energy relative to the most stable one, in meV per atom: w 764; x 0


w | DFT (PBE+U) results for a relaxed structure of CrIBrO2.

The value obtained for the density of states at the Fermi level is 0.72 states/eV/atom. Its magnetization is 2.07 μB/f.u. The crystal system is tetragonal.

Lattice parameters (Å, degrees): 3.941 3.941 7.169 90.00 90.00 90.00
Space group P4/mmm (No. 123)
One atom of each set of equivalent atoms:
Cr (0.000, 0.000, 0.000) x1
I (0.000, 0.000, 0.500) x1
Br (0.500, 0.500, 0.500) x1
O (0.000, 0.500, 0.000) x2


x | DFT (PBE+U) results for a relaxed structure of CrIBrO2.

The value obtained for the density of states at the Fermi level is 0.44 states/eV/atom. Its magnetization is 4.57 μB/f.u. The crystal system is tetragonal.

Lattice parameters (Å, degrees): 3.987 3.987 7.488 90.00 90.00 90.00
Space group P4/mmm (No. 123)
One atom of each set of equivalent atoms:
Cr (0.000, 0.000, 0.000) x1
I (0.500, 0.500, 0.000) x1
Br (0.500, 0.500, 0.500) x1
O (0.000, 0.500, 0.500) x2


Energy relative to the most stable one, in meV per atom: w 0; x 705